VASP calculation (PBE-GGA) on an optimized crystal structure of BeBiSN2.

**N(E_F)**: 3.3 states/eV/cell
**Polymorph energy (0 for the lowest one)**: 909.9 meV per atom
**DFT total energy**: -3.755 eV per atom

Cell: 4.2034 4.2034 5.5982 Å, 90.00 90.00 90.00°
With the nearest neighbours (Å) after each atom.
Space group P4/mmm (No. 123)
Unique sites:
Be 0.0000 0.0000 0.0000 [1 per cell]  4 S 2.97
Bi 0.5000 0.5000 0.5000 [1 per cell]  4 N 2.10
S 0.5000 0.5000 0.0000 [1 per cell]  2 Bi 2.80, 4 Be 2.97
N 0.0000 0.5000 0.5000 [2 per cell]  2 Bi 2.10